[1]
# CaZn4Rh, optimized geometry, DFT PBE
data_CaZn4Rh
_chemical_formula_sum 'Ca4 Zn16 Rh4'
_space_group_name_H-M_alt 'F -4 3 m'
_space_group_IT_number 216
_space_group_name_Hall 'F -4 2 3'
_cell_length_a 7.291
_cell_length_b 7.291
_cell_length_c 7.291
_cell_angle_alpha 90.00
_cell_angle_beta 90.00
_cell_angle_gamma 90.00
loop_
_atom_site_label
_atom_site_fract_x
_atom_site_fract_y
_atom_site_fract_z
Ca1 0.000 0.000 0.000
Zn1 0.124 0.124 0.624
Rh1 0.250 0.250 0.250
# Energy above the lowest structure with this stoichiometry ... 0.018 eV per atom
# E_form ... -0.2933 eV per atom

---

[2]
# Ca3Zn2Rh, optimized geometry, DFT PBE
data_Ca3Zn2Rh
_chemical_formula_sum 'Ca12 Zn8 Rh4'
_space_group_name_H-M_alt 'P n m a'
_space_group_IT_number 62
_space_group_name_Hall '-P 2ac 2n'
_cell_length_a 12.031
_cell_length_b 4.256
_cell_length_c 12.107
_cell_angle_alpha 90.00
_cell_angle_beta 90.00
_cell_angle_gamma 90.00
loop_
_atom_site_label
_atom_site_fract_x
_atom_site_fract_y
_atom_site_fract_z
Ca1 0.053 0.250 0.126
Ca2 0.114 0.750 0.550
Ca3 0.224 0.250 0.792
Zn1 0.021 0.750 0.312
Zn2 0.199 0.750 0.988
Rh1 0.124 0.250 0.369
# E_form ... -0.3768 eV per atom

---

[3]
# Ca5Zn5Rh2, optimized geometry, DFT PBE
data_Ca5Zn5Rh2
_chemical_formula_sum 'Ca10 Zn10 Rh4'
_space_group_name_H-M_alt 'C 1 2/m 1'
_space_group_IT_number 12
_space_group_name_Hall '-C 2y'
_cell_length_a 15.620
_cell_length_b 4.220
_cell_length_c 11.576
_cell_angle_alpha 90.00
_cell_angle_beta 131.70
_cell_angle_gamma 90.00
loop_
_atom_site_label
_atom_site_fract_x
_atom_site_fract_y
_atom_site_fract_z
Ca1 0.000 0.000 0.000
Ca2 0.121 0.500 0.822
Ca3 0.202 0.500 0.581
Zn1 0.000 0.000 0.500
Zn2 0.062 0.000 0.326
Zn3 0.214 0.500 0.162
Rh1 0.107 0.500 0.254
# E_form ... -0.3392 eV per atom

---

In eV/atom, the VASP energy values for the records above are, in order, -2.701; -3.028; -2.929.